Entry 1:
Density functional theory data (PBE) for a geometry-optimized CaMo2P structure.

Cell and atoms, written as POSCAR:
```
CaMo2P
1.0
2.7195 -4.6377 0.0000
2.7195 4.6377 0.0000
0.0000 0.0000 2.7354
Ca Mo P
1 2 1
direct
0.0000 0.0000 0.0000
0.0000 0.5000 0.5000
0.5000 0.0000 0.5000
0.5000 0.5000 0.0000
```

Values from the calculation:
Magnetization ... 0.000 Bohr magnetons per cell
Symmetry ... Cmmm

***

Entry 2:
Density functional theory data (PBE) for a geometry-optimized CaMo2P structure.

Cell and atoms, written as POSCAR:
```
CaMo2P
1.0
2.8052 0.0000 0.0000
0.0000 5.0011 0.0000
-0.1704 0.0000 5.0287
Ca Mo P
1 2 1
direct
0.0000 0.0000 0.0000
0.4018 0.5000 0.7387
0.5982 0.5000 0.2613
0.5000 0.0000 0.5000
```

Values from the calculation:
Magnetization ... 0.000 Bohr magnetons per cell
Symmetry ... P2/m

***

Entry 3:
Density functional theory data (PBE) for a geometry-optimized CaMoP2 structure.

Cell and atoms, written as POSCAR:
```
CaMoP2
1.0
-1.6175 1.7242 6.6760
1.6175 -1.7242 6.6760
1.6175 1.7242 -6.6760
Ca Mo P
1 1 2
direct
0.0000 0.0000 0.0000
0.2485 0.7485 0.5000
0.3811 0.3811 0.0000
0.6762 0.1762 0.5000
```

Values from the calculation:
Magnetization ... 0.000 Bohr magnetons per cell
Symmetry ... Imm2
Energy relative to the lowest polymorph listed for this composition ... 0.176 eV per atom

***

Entry 4:
Density functional theory data (PBE) for a geometry-optimized CaMo2P structure.

Cell and atoms, written as POSCAR:
```
CaMo2P
1.0
1.7387 1.0039 7.7415
-1.7387 1.0039 7.7415
0.0000 -2.0077 7.7415
Ca Mo P
1 2 1
direct
0.0000 0.0000 0.0000
0.2192 0.2192 0.2192
0.7808 0.7808 0.7808
0.5000 0.5000 0.5000
```

Values from the calculation:
Magnetization ... 1.656 Bohr magnetons per cell
Symmetry ... R-3m

***

no.,calculated formation energy (eV/atom),electronic total energy (eV per atom)
1,0.66,-6.608
2,0.34,-6.929
3,-0.56,-6.470
4,0.17,-7.101